1.
# RbLi2NdCl6, optimized geometry, DFT PBE
# Formation energy (no corrections) = -2.01 eV/atom
# Crystal system = triclinic
data_RbLi2NdCl6
_chemical_formula_sum 'Rb1 Li2 Nd1 Cl6'
_symmetry_space_group_name_H-M 'P 1'
_symmetry_Int_Tables_number 1
_cell_length_a 7.006
_cell_length_b 7.009
_cell_length_c 7.534
_cell_angle_alpha 62.28
_cell_angle_beta 90.00
_cell_angle_gamma 60.05
loop_
_symmetry_equiv_pos_as_xyz
'x,y,z'
loop_
_atom_site_label
_atom_site_fract_x
_atom_site_fract_y
_atom_site_fract_z
Rb1 0.000 0.000 0.000
Li1 0.268 0.464 0.803
Li2 0.775 0.449 0.328
Nd1 0.475 0.051 0.423
Cl1 0.050 0.471 0.123
Cl2 0.181 0.923 0.604
Cl3 0.480 0.927 0.123
Cl4 0.528 0.293 0.603
Cl5 0.594 0.357 0.123
Cl6 0.896 0.577 0.603

---

2.
# Rb2LiNdCl6, optimized geometry, DFT PBE
# Formation energy (no corrections) = -2.07 eV/atom
# Crystal system = cubic
data_Rb2LiNdCl6
_chemical_formula_sum 'Rb8 Li4 Nd4 Cl24'
_symmetry_space_group_name_H-M 'F m -3 m'
_symmetry_Int_Tables_number 225
_symmetry_space_group_name_Hall '-F 4 2 3'
_cell_length_a 10.641
_cell_length_b 10.641
_cell_length_c 10.641
_cell_angle_alpha 90.00
_cell_angle_beta 90.00
_cell_angle_gamma 90.00
loop_
_atom_site_label
_atom_site_fract_x
_atom_site_fract_y
_atom_site_fract_z
Rb1 0.250 0.250 0.250
Li1 0.000 0.000 0.000
Nd1 0.000 0.000 0.500
Cl1 0.000 0.000 0.244

---

3.
# LiNd3Se2Cl6, optimized geometry, DFT PBE
# Formation energy (no corrections) = -2.00 eV/atom
# Crystal system = monoclinic
data_LiNd3Se2Cl6
_chemical_formula_sum 'Li2 Nd6 Se4 Cl12'
_symmetry_space_group_name_H-M 'C 1 2/m 1'
_symmetry_Int_Tables_number 12
_cell_length_a 13.862
_cell_length_b 8.351
_cell_length_c 6.288
_cell_angle_alpha 90.00
_cell_angle_beta 91.44
_cell_angle_gamma 90.00
loop_
_symmetry_equiv_pos_as_xyz
'x,y,z'
'-x,-y,-z'
'-x,y,-z'
'x,-y,z'
'x+1/2,y+1/2,z'
'-x+1/2,-y+1/2,-z'
'-x+1/2,y+1/2,-z'
'x+1/2,-y+1/2,z'
loop_
_atom_site_label
_atom_site_fract_x
_atom_site_fract_y
_atom_site_fract_z
Li1 0.000 0.000 0.000
Nd1 0.000 0.500 0.500
Nd2 0.250 0.250 0.000
Se1 0.177 0.500 0.268
Cl1 0.077 0.251 0.758
Cl2 0.156 0.000 0.210

---

4.
# SrLiNdCl6, optimized geometry, DFT PBE
# Formation energy (no corrections) = -2.22 eV/atom
# Crystal system = trigonal
data_SrLiNdCl6
_chemical_formula_sum 'Sr2 Li2 Nd2 Cl12'
_symmetry_space_group_name_H-M 'P -3 1 c'
_symmetry_Int_Tables_number 163
_symmetry_space_group_name_Hall '-P 3 2c'
_cell_length_a 6.8664
_cell_length_b 6.8664
_cell_length_c 12.7758
_cell_angle_alpha 90.00
_cell_angle_beta 90.00
_cell_angle_gamma 120.00
loop_
_atom_site_label
_atom_site_fract_x
_atom_site_fract_y
_atom_site_fract_z
Sr1 0.0000 0.0000 0.0000
Li1 0.3333 0.6667 0.2500
Nd1 0.3333 0.6667 0.7500
Cl1 0.0137 0.3575 0.1322

---

5.
# LiNi3Cl8, optimized geometry, DFT PBE
# Formation energy (no corrections) = -0.75 eV/atom
# Crystal system = monoclinic
data_LiNi3Cl8
_chemical_formula_sum 'Li2 Ni6 Cl16'
_symmetry_space_group_name_H-M 'C 1 2/m 1'
_symmetry_Int_Tables_number 12
_cell_length_a 12.088
_cell_length_b 6.975
_cell_length_c 7.492
_cell_angle_alpha 90.00
_cell_angle_beta 123.36
_cell_angle_gamma 90.00
loop_
_symmetry_equiv_pos_as_xyz
'x,y,z'
'-x,-y,-z'
'-x,y,-z'
'x,-y,z'
'x+1/2,y+1/2,z'
'-x+1/2,-y+1/2,-z'
'-x+1/2,y+1/2,-z'
'x+1/2,-y+1/2,z'
loop_
_atom_site_label
_atom_site_fract_x
_atom_site_fract_y
_atom_site_fract_z
Li1 0.000 0.000 0.000
Ni1 0.000 0.500 0.000
Ni2 0.250 0.250 0.000
Cl1 0.018 0.264 0.796
Cl2 0.241 0.500 0.219
Cl3 0.246 0.000 0.204

---

6.
# Li2Ni2Cl7, optimized geometry, DFT PBE
# Formation energy (no corrections) = -0.91 eV/atom
# Crystal system = monoclinic
data_Li2Ni2Cl7
_chemical_formula_sum 'Li4 Ni4 Cl14'
_symmetry_space_group_name_H-M 'C 1 2/m 1'
_symmetry_Int_Tables_number 12
_cell_length_a 6.006
_cell_length_b 10.697
_cell_length_c 9.711
_cell_angle_alpha 90.00
_cell_angle_beta 100.50
_cell_angle_gamma 90.00
loop_
_symmetry_equiv_pos_as_xyz
'x,y,z'
'-x,-y,-z'
'-x,y,-z'
'x,-y,z'
'x+1/2,y+1/2,z'
'-x+1/2,-y+1/2,-z'
'-x+1/2,y+1/2,-z'
'x+1/2,-y+1/2,z'
loop_
_atom_site_label
_atom_site_fract_x
_atom_site_fract_y
_atom_site_fract_z
Li1 0.205 0.000 0.211
Ni1 0.000 0.336 0.500
Cl1 0.000 0.000 0.000
Cl2 0.094 0.500 0.356
Cl3 0.153 0.180 0.362

---

7.
# Li5Ni3Cl12, optimized geometry, DFT PBE
# Formation energy (no corrections) = -1.04 eV/atom
# Crystal system = cubic
data_Li5Ni3Cl12
_chemical_formula_sum 'Li40 Ni24 Cl96'
_symmetry_space_group_name_H-M 'I a -3 d'
_symmetry_Int_Tables_number 230
_symmetry_space_group_name_Hall '-I 4bd 2c 3'
_cell_length_a 15.184
_cell_length_b 15.184
_cell_length_c 15.184
_cell_angle_alpha 90.00
_cell_angle_beta 90.00
_cell_angle_gamma 90.00
loop_
_atom_site_label
_atom_site_fract_x
_atom_site_fract_y
_atom_site_fract_z
Li1 0.000 0.000 0.000
Li2 0.000 0.250 0.375
Ni1 0.000 0.250 0.125
Cl1 0.023 0.049 0.338

---

8.
# Li2NiCl4, optimized geometry, DFT PBE
# Formation energy (no corrections) = -1.15 eV/atom
# Crystal system = tetragonal
data_Li2NiCl4
_chemical_formula_sum 'Li4 Ni2 Cl8'
_symmetry_space_group_name_H-M 'I -4 2 m'
_symmetry_Int_Tables_number 121
_symmetry_space_group_name_Hall 'I -4 2'
_cell_length_a 6.285
_cell_length_b 6.285
_cell_length_c 7.249
_cell_angle_alpha 90.00
_cell_angle_beta 90.00
_cell_angle_gamma 90.00
loop_
_atom_site_label
_atom_site_fract_x
_atom_site_fract_y
_atom_site_fract_z
Li1 0.000 0.500 0.250
Ni1 0.000 0.000 0.000
Cl1 0.238 0.238 0.073